[1]
## DyYTlPb (PBE-GGA)

Data for a relaxed DyYTlPb crystal.

## Properties
- Energy above the most stable polymorph in this dataset: 0.14 eV per formula unit
- SG: F-43m, No. 216
- Energy relative to the elements: -0.370 eV/atom

abc: 5.4111 5.4111 5.4111
angles: 60.00 60.00 60.00
Closest atoms and distances in Å follow each position.
Fractional positions:
1 Dy 0.0000 0.0000 0.0000  4 Tl 3.31, 4 Pb 3.31
2 Y 0.5000 0.5000 0.5000  4 Tl 3.31, 4 Pb 3.31
3 Tl 0.7500 0.7500 0.7500  4 Y 3.31, 4 Dy 3.31
4 Pb 0.2500 0.2500 0.2500  4 Y 3.31, 4 Dy 3.31


[2]
## Dy2TmPb2 (PBE-GGA)

Data for a relaxed Dy2TmPb2 crystal.

## Properties
- SG: Cmcm, No. 63
- Energy relative to the elements: -0.432 eV/atom

abc: 9.4241 9.4241 6.5160
angles: 90.00 90.00 149.20
Closest atoms and distances in Å follow each position.
Fractional positions:
1 Dy 0.0000 0.0000 0.0000  2 Dy 3.26, 4 Pb 3.29, 4 Tm 3.55
2 Dy 0.0000 0.0000 0.5000  2 Dy 3.26, 4 Pb 3.29, 4 Tm 3.55
3 Dy 0.1901 0.8099 0.7500  6 Pb 3.25-3.26
4 Dy 0.8099 0.1901 0.2500  6 Pb 3.25-3.26
5 Tm 0.3947 0.6053 0.7500  5 Pb 2.99-3.30
6 Tm 0.6053 0.3947 0.2500  5 Pb 2.99-3.30
7 Pb 0.1954 0.8046 0.2500  2 Tm 2.99, 4 Dy 3.25-3.26
8 Pb 0.4242 0.5758 0.2500  6 Dy 3.25-3.29, 3 Tm 3.29-3.30
9 Pb 0.5758 0.4242 0.7500  6 Dy 3.25-3.29, 3 Tm 3.29-3.30
10 Pb 0.8046 0.1954 0.7500  2 Tm 2.99, 4 Dy 3.25-3.26


[3]
## Dy8TmPb2 (PBE-GGA)

Data for a relaxed Dy8TmPb2 crystal.

## Properties
- SG: C2/m, No. 12
- Energy relative to the elements: -0.066 eV/atom

abc: 8.7855 8.7855 5.7300
angles: 102.81 102.81 119.90
Closest atoms and distances in Å follow each position.
Fractional positions:
1 Dy 0.0957 0.3202 0.6207  2 Pb 3.20-3.37, 5 Dy 3.29-3.57
2 Dy 0.2171 0.7829 0.0000  2 Pb 3.17, 1 Tm 3.30
3 Dy 0.3202 0.0957 0.6207  2 Pb 3.20-3.37, 5 Dy 3.29-3.57
4 Dy 0.4067 0.4067 0.2026  2 Dy 3.06-3.39, 1 Tm 3.24, 2 Pb 3.33
5 Dy 0.5933 0.5933 0.7974  2 Dy 3.06-3.39, 1 Tm 3.24, 2 Pb 3.33
6 Dy 0.6798 0.9043 0.3793  2 Pb 3.20-3.37, 5 Dy 3.29-3.57
7 Dy 0.7829 0.2171 0.0000  2 Pb 3.17, 1 Tm 3.30
8 Dy 0.9043 0.6798 0.3793  2 Pb 3.20-3.37, 5 Dy 3.29-3.57
9 Tm 0.0000 0.0000 0.0000  4 Dy 3.24-3.30
10 Pb 0.3056 0.6944 0.5000  8 Dy 3.17-3.37
11 Pb 0.6944 0.3056 0.5000  8 Dy 3.17-3.37


[4]
## Dy2TmPb3 (PBE-GGA)

Data for a relaxed Dy2TmPb3 crystal.

## Properties
- Energy above the most stable polymorph in this dataset: 0.00 eV per formula unit
- SG: C2/c, No. 15
- Energy relative to the elements: -0.481 eV/atom

abc: 9.0134 9.0134 6.3832
angles: 100.14 100.14 41.46
Closest atoms and distances in Å follow each position.
Fractional positions:
1 Dy 0.0410 0.2925 0.0852  6 Pb 3.19-3.56, 1 Tm 3.56
2 Dy 0.2925 0.0410 0.5852  6 Pb 3.19-3.56, 1 Tm 3.56
3 Dy 0.7075 0.9590 0.4148  6 Pb 3.19-3.56, 1 Tm 3.56
4 Dy 0.9590 0.7075 0.9148  6 Pb 3.19-3.56, 1 Tm 3.56
5 Tm 0.3765 0.6235 0.7500  6 Pb 3.17-3.55
6 Tm 0.6235 0.3765 0.2500  6 Pb 3.17-3.55
7 Pb 0.1235 0.8765 0.2500  2 Tm 3.19, 4 Dy 3.20-3.56, 4 Pb 3.56
8 Pb 0.2093 0.4592 0.4178  2 Tm 3.17-3.55, 4 Dy 3.19-3.55
9 Pb 0.4592 0.2093 0.9178  2 Tm 3.17-3.55, 4 Dy 3.19-3.55
10 Pb 0.5408 0.7907 0.0822  2 Tm 3.17-3.55, 4 Dy 3.19-3.55
11 Pb 0.7907 0.5408 0.5822  2 Tm 3.17-3.55, 4 Dy 3.19-3.55
12 Pb 0.8765 0.1235 0.7500  2 Tm 3.19, 4 Dy 3.20-3.56, 4 Pb 3.56